# RbCrSn2Te (PBE, relaxed)
# Space group: No. 123
data_RbCrSn2Te
_chemical_formula_sum 'Rb1 Cr1 Sn2 Te1'
_space_group_name_H-M_alt 'P 1'
_space_group_IT_number 1
_space_group_name_Hall 'P 1'
_cell_length_a 5.2028
_cell_length_b 5.2028
_cell_length_c 6.0796
_cell_angle_alpha 90.00
_cell_angle_beta 90.00
_cell_angle_gamma 90.00
loop_
_atom_site_label
_atom_site_type_symbol
_atom_site_fract_x
_atom_site_fract_y
_atom_site_fract_z
Rb1 Rb 0.0000 0.0000 0.0000
Cr1 Cr 0.0000 0.0000 0.5000
Sn1 Sn 0.0000 0.5000 0.5000
Sn2 Sn 0.5000 0.0000 0.5000
Te1 Te 0.5000 0.5000 0.0000

---

# Rb3SrCr (PBE, relaxed)
# Space group: No. 221
# Formation energy: 0.697 eV/atom
data_Rb3SrCr
_chemical_formula_sum 'Rb3 Sr1 Cr1'
_space_group_name_H-M_alt 'P 1'
_space_group_IT_number 1
_space_group_name_Hall 'P 1'
_cell_length_a 7.1262
_cell_length_b 7.1262
_cell_length_c 7.1262
_cell_angle_alpha 90.00
_cell_angle_beta 90.00
_cell_angle_gamma 90.00
loop_
_atom_site_label
_atom_site_type_symbol
_atom_site_fract_x
_atom_site_fract_y
_atom_site_fract_z
Rb1 Rb 0.0000 0.0000 0.5000
Rb2 Rb 0.0000 0.5000 0.0000
Rb3 Rb 0.5000 0.0000 0.0000
Sr1 Sr 0.5000 0.5000 0.5000
Cr1 Cr 0.0000 0.0000 0.0000

---

# RbSrCr2 (PBE, relaxed)
# Space group: No. 122
# Formation energy: 1.284 eV/atom
data_RbSrCr2
_chemical_formula_sum 'Rb4 Sr4 Cr8'
_space_group_name_H-M_alt 'P 1'
_space_group_IT_number 1
_space_group_name_Hall 'P 1'
_cell_length_a 9.3060
_cell_length_b 9.3060
_cell_length_c 6.9475
_cell_angle_alpha 90.00
_cell_angle_beta 90.00
_cell_angle_gamma 90.00
loop_
_atom_site_label
_atom_site_type_symbol
_atom_site_fract_x
_atom_site_fract_y
_atom_site_fract_z
Rb1 Rb 0.0000 0.0000 0.0000
Rb2 Rb 0.0000 0.5000 0.2500
Rb3 Rb 0.5000 0.0000 0.7500
Rb4 Rb 0.5000 0.5000 0.5000
Sr1 Sr 0.0000 0.0000 0.5000
Sr2 Sr 0.0000 0.5000 0.7500
Sr3 Sr 0.5000 0.0000 0.2500
Sr4 Sr 0.5000 0.5000 0.0000
Cr1 Cr 0.2429 0.7500 0.6250
Cr2 Cr 0.2500 0.2429 0.3750
Cr3 Cr 0.2500 0.2571 0.8750
Cr4 Cr 0.2571 0.7500 0.1250
Cr5 Cr 0.7429 0.2500 0.1250
Cr6 Cr 0.7500 0.7429 0.8750
Cr7 Cr 0.7500 0.7571 0.3750
Cr8 Cr 0.7571 0.2500 0.6250

---

# Rb3SrCr (PBE, relaxed)
# Space group: No. 221
# Formation energy: 1.085 eV/atom
data_Rb3SrCr
_chemical_formula_sum 'Rb3 Sr1 Cr1'
_space_group_name_H-M_alt 'P 1'
_space_group_IT_number 1
_space_group_name_Hall 'P 1'
_cell_length_a 8.1720
_cell_length_b 8.1720
_cell_length_c 8.1720
_cell_angle_alpha 90.00
_cell_angle_beta 90.00
_cell_angle_gamma 90.00
loop_
_atom_site_label
_atom_site_type_symbol
_atom_site_fract_x
_atom_site_fract_y
_atom_site_fract_z
Rb1 Rb 0.0000 0.0000 0.5000
Rb2 Rb 0.0000 0.5000 0.0000
Rb3 Rb 0.5000 0.0000 0.0000
Sr1 Sr 0.0000 0.0000 0.0000
Cr1 Cr 0.5000 0.5000 0.5000

---

# Rb2SrCr2 (PBE, relaxed)
# Space group: No. 139
# Formation energy: 1.034 eV/atom
data_Rb2SrCr2
_chemical_formula_sum 'Rb4 Sr2 Cr4'
_space_group_name_H-M_alt 'P 1'
_space_group_IT_number 1
_space_group_name_Hall 'P 1'
_cell_length_a 5.2035
_cell_length_b 5.2035
_cell_length_c 15.5578
_cell_angle_alpha 90.00
_cell_angle_beta 90.00
_cell_angle_gamma 90.00
loop_
_atom_site_label
_atom_site_type_symbol
_atom_site_fract_x
_atom_site_fract_y
_atom_site_fract_z
Rb1 Rb 0.0000 0.5000 0.2500
Rb2 Rb 0.0000 0.5000 0.7500
Rb3 Rb 0.5000 0.0000 0.2500
Rb4 Rb 0.5000 0.0000 0.7500
Sr1 Sr 0.0000 0.0000 0.0000
Sr2 Sr 0.5000 0.5000 0.5000
Cr1 Cr 0.0000 0.0000 0.4447
Cr2 Cr 0.0000 0.0000 0.5553
Cr3 Cr 0.5000 0.5000 0.0553
Cr4 Cr 0.5000 0.5000 0.9447

---

# Rb2SrCr2 (PBE, relaxed)
# Space group: No. 127
# Formation energy: 1.067 eV/atom
data_Rb2SrCr2
_chemical_formula_sum 'Rb4 Sr2 Cr4'
_space_group_name_H-M_alt 'P 1'
_space_group_IT_number 1
_space_group_name_Hall 'P 1'
_cell_length_a 8.4326
_cell_length_b 8.4326
_cell_length_c 6.3529
_cell_angle_alpha 90.00
_cell_angle_beta 90.00
_cell_angle_gamma 90.00
loop_
_atom_site_label
_atom_site_type_symbol
_atom_site_fract_x
_atom_site_fract_y
_atom_site_fract_z
Rb1 Rb 0.1819 0.3181 0.0000
Rb2 Rb 0.3181 0.8181 0.0000
Rb3 Rb 0.6819 0.1819 0.0000
Rb4 Rb 0.8181 0.6819 0.0000
Sr1 Sr 0.0000 0.0000 0.5000
Sr2 Sr 0.5000 0.5000 0.5000
Cr1 Cr 0.0721 0.5721 0.5000
Cr2 Cr 0.4279 0.0721 0.5000
Cr3 Cr 0.5721 0.9279 0.5000
Cr4 Cr 0.9279 0.4279 0.5000

---

# Rb2SrCr (PBE, relaxed)
# Space group: No. 225
# Formation energy: 0.808 eV/atom
data_Rb2SrCr
_chemical_formula_sum 'Rb8 Sr4 Cr4'
_space_group_name_H-M_alt 'P 1'
_space_group_IT_number 1
_space_group_name_Hall 'P 1'
_cell_length_a 9.5787
_cell_length_b 9.5787
_cell_length_c 9.5787
_cell_angle_alpha 90.00
_cell_angle_beta 90.00
_cell_angle_gamma 90.00
loop_
_atom_site_label
_atom_site_type_symbol
_atom_site_fract_x
_atom_site_fract_y
_atom_site_fract_z
Rb1 Rb 0.2500 0.2500 0.2500
Rb2 Rb 0.2500 0.2500 0.7500
Rb3 Rb 0.2500 0.7500 0.2500
Rb4 Rb 0.2500 0.7500 0.7500
Rb5 Rb 0.7500 0.2500 0.2500
Rb6 Rb 0.7500 0.2500 0.7500
Rb7 Rb 0.7500 0.7500 0.2500
Rb8 Rb 0.7500 0.7500 0.7500
Sr1 Sr 0.0000 0.0000 0.0000
Sr2 Sr 0.0000 0.5000 0.5000
Sr3 Sr 0.5000 0.0000 0.5000
Sr4 Sr 0.5000 0.5000 0.0000
Cr1 Cr 0.0000 0.0000 0.5000
Cr2 Cr 0.0000 0.5000 0.0000
Cr3 Cr 0.5000 0.0000 0.0000
Cr4 Cr 0.5000 0.5000 0.5000

---

# RbSrCr2 (PBE, relaxed)
# Space group: No. 225
# Formation energy: 2.406 eV/atom
data_RbSrCr2
_chemical_formula_sum 'Rb4 Sr4 Cr8'
_space_group_name_H-M_alt 'P 1'
_space_group_IT_number 1
_space_group_name_Hall 'P 1'
_cell_length_a 7.5494
_cell_length_b 7.5494
_cell_length_c 7.5494
_cell_angle_alpha 90.00
_cell_angle_beta 90.00
_cell_angle_gamma 90.00
loop_
_atom_site_label
_atom_site_type_symbol
_atom_site_fract_x
_atom_site_fract_y
_atom_site_fract_z
Rb1 Rb 0.0000 0.0000 0.0000
Rb2 Rb 0.0000 0.5000 0.5000
Rb3 Rb 0.5000 0.0000 0.5000
Rb4 Rb 0.5000 0.5000 0.0000
Sr1 Sr 0.0000 0.0000 0.5000
Sr2 Sr 0.0000 0.5000 0.0000
Sr3 Sr 0.5000 0.0000 0.0000
Sr4 Sr 0.5000 0.5000 0.5000
Cr1 Cr 0.2500 0.2500 0.2500
Cr2 Cr 0.2500 0.2500 0.7500
Cr3 Cr 0.2500 0.7500 0.2500
Cr4 Cr 0.2500 0.7500 0.7500
Cr5 Cr 0.7500 0.2500 0.2500
Cr6 Cr 0.7500 0.2500 0.7500
Cr7 Cr 0.7500 0.7500 0.2500
Cr8 Cr 0.7500 0.7500 0.7500

---

# RbTaCr2 (PBE, relaxed)
# Space group: No. 141
# Formation energy: 1.795 eV/atom
data_RbTaCr2
_chemical_formula_sum 'Rb4 Ta4 Cr8'
_space_group_name_H-M_alt 'P 1'
_space_group_IT_number 1
_space_group_name_Hall 'P 1'
_cell_length_a 5.6534
_cell_length_b 5.6534
_cell_length_c 16.1407
_cell_angle_alpha 90.00
_cell_angle_beta 90.00
_cell_angle_gamma 90.00
loop_
_atom_site_label
_atom_site_type_symbol
_atom_site_fract_x
_atom_site_fract_y
_atom_site_fract_z
Rb1 Rb 0.0000 0.2500 0.3750
Rb2 Rb 0.0000 0.7500 0.6250
Rb3 Rb 0.5000 0.2500 0.1250
Rb4 Rb 0.5000 0.7500 0.8750
Ta1 Ta 0.0000 0.2500 0.8750
Ta2 Ta 0.0000 0.7500 0.1250
Ta3 Ta 0.5000 0.2500 0.6250
Ta4 Ta 0.5000 0.7500 0.3750
Cr1 Cr 0.0000 0.0000 0.0000
Cr2 Cr 0.0000 0.5000 0.0000
Cr3 Cr 0.2500 0.2500 0.7500
Cr4 Cr 0.2500 0.7500 0.2500
Cr5 Cr 0.5000 0.0000 0.5000
Cr6 Cr 0.5000 0.5000 0.5000
Cr7 Cr 0.7500 0.2500 0.7500
Cr8 Cr 0.7500 0.7500 0.2500

---

# Rb2TaCr (PBE, relaxed)
# Space group: No. 225
# Formation energy: 2.105 eV/atom
data_Rb2TaCr
_chemical_formula_sum 'Rb8 Ta4 Cr4'
_space_group_name_H-M_alt 'P 1'
_space_group_IT_number 1
_space_group_name_Hall 'P 1'
_cell_length_a 8.7130
_cell_length_b 8.7130
_cell_length_c 8.7130
_cell_angle_alpha 90.00
_cell_angle_beta 90.00
_cell_angle_gamma 90.00
loop_
_atom_site_label
_atom_site_type_symbol
_atom_site_fract_x
_atom_site_fract_y
_atom_site_fract_z
Rb1 Rb 0.2500 0.2500 0.2500
Rb2 Rb 0.2500 0.2500 0.7500
Rb3 Rb 0.2500 0.7500 0.2500
Rb4 Rb 0.2500 0.7500 0.7500
Rb5 Rb 0.7500 0.2500 0.2500
Rb6 Rb 0.7500 0.2500 0.7500
Rb7 Rb 0.7500 0.7500 0.2500
Rb8 Rb 0.7500 0.7500 0.7500
Ta1 Ta 0.0000 0.0000 0.0000
Ta2 Ta 0.0000 0.5000 0.5000
Ta3 Ta 0.5000 0.0000 0.5000
Ta4 Ta 0.5000 0.5000 0.0000
Cr1 Cr 0.0000 0.0000 0.5000
Cr2 Cr 0.0000 0.5000 0.0000
Cr3 Cr 0.5000 0.0000 0.0000
Cr4 Cr 0.5000 0.5000 0.5000

---

# RbTa2Cr (PBE, relaxed)
# Space group: No. 225
# Formation energy: 1.864 eV/atom
data_RbTa2Cr
_chemical_formula_sum 'Rb4 Ta8 Cr4'
_space_group_name_H-M_alt 'P 1'
_space_group_IT_number 1
_space_group_name_Hall 'P 1'
_cell_length_a 6.7196
_cell_length_b 6.7196
_cell_length_c 6.7196
_cell_angle_alpha 90.00
_cell_angle_beta 90.00
_cell_angle_gamma 90.00
loop_
_atom_site_label
_atom_site_type_symbol
_atom_site_fract_x
_atom_site_fract_y
_atom_site_fract_z
Rb1 Rb 0.0000 0.0000 0.0000
Rb2 Rb 0.0000 0.5000 0.5000
Rb3 Rb 0.5000 0.0000 0.5000
Rb4 Rb 0.5000 0.5000 0.0000
Ta1 Ta 0.2500 0.2500 0.2500
Ta2 Ta 0.2500 0.2500 0.7500
Ta3 Ta 0.2500 0.7500 0.2500
Ta4 Ta 0.2500 0.7500 0.7500
Ta5 Ta 0.7500 0.2500 0.2500
Ta6 Ta 0.7500 0.2500 0.7500
Ta7 Ta 0.7500 0.7500 0.2500
Ta8 Ta 0.7500 0.7500 0.7500
Cr1 Cr 0.0000 0.0000 0.5000
Cr2 Cr 0.0000 0.5000 0.0000
Cr3 Cr 0.5000 0.0000 0.0000
Cr4 Cr 0.5000 0.5000 0.5000

---

# RbTa3Cr (PBE, relaxed)
# Space group: No. 221
# Formation energy: 1.509 eV/atom
data_RbTa3Cr
_chemical_formula_sum 'Rb1 Ta3 Cr1'
_space_group_name_H-M_alt 'P 1'
_space_group_IT_number 1
_space_group_name_Hall 'P 1'
_cell_length_a 4.8400
_cell_length_b 4.8400
_cell_length_c 4.8400
_cell_angle_alpha 90.00
_cell_angle_beta 90.00
_cell_angle_gamma 90.00
loop_
_atom_site_label
_atom_site_type_symbol
_atom_site_fract_x
_atom_site_fract_y
_atom_site_fract_z
Rb1 Rb 0.0000 0.0000 0.0000
Ta1 Ta 0.0000 0.5000 0.5000
Ta2 Ta 0.5000 0.0000 0.5000
Ta3 Ta 0.5000 0.5000 0.0000
Cr1 Cr 0.5000 0.5000 0.5000

---

# Rb3TaCr (PBE, relaxed)
# Space group: No. 221
# Formation energy: 1.860 eV/atom
data_Rb3TaCr
_chemical_formula_sum 'Rb3 Ta1 Cr1'
_space_group_name_H-M_alt 'P 1'
_space_group_IT_number 1
_space_group_name_Hall 'P 1'
_cell_length_a 6.9345
_cell_length_b 6.9345
_cell_length_c 6.9345
_cell_angle_alpha 90.00
_cell_angle_beta 90.00
_cell_angle_gamma 90.00
loop_
_atom_site_label
_atom_site_type_symbol
_atom_site_fract_x
_atom_site_fract_y
_atom_site_fract_z
Rb1 Rb 0.0000 0.0000 0.5000
Rb2 Rb 0.0000 0.5000 0.0000
Rb3 Rb 0.5000 0.0000 0.0000
Ta1 Ta 0.0000 0.0000 0.0000
Cr1 Cr 0.5000 0.5000 0.5000

---

# Rb2TaCr (PBE, relaxed)
# Space group: No. 122
# Formation energy: 1.643 eV/atom
data_Rb2TaCr
_chemical_formula_sum 'Rb8 Ta4 Cr4'
_space_group_name_H-M_alt 'P 1'
_space_group_IT_number 1
_space_group_name_Hall 'P 1'
_cell_length_a 13.3828
_cell_length_b 13.3828
_cell_length_c 4.6259
_cell_angle_alpha 90.00
_cell_angle_beta 90.00
_cell_angle_gamma 90.00
loop_
_atom_site_label
_atom_site_type_symbol
_atom_site_fract_x
_atom_site_fract_y
_atom_site_fract_z
Rb1 Rb 0.0788 0.7500 0.1250
Rb2 Rb 0.2500 0.0788 0.8750
Rb3 Rb 0.2500 0.4212 0.3750
Rb4 Rb 0.4212 0.7500 0.6250
Rb5 Rb 0.5788 0.2500 0.6250
Rb6 Rb 0.7500 0.5788 0.3750
Rb7 Rb 0.7500 0.9212 0.8750
Rb8 Rb 0.9212 0.2500 0.1250
Ta1 Ta 0.0000 0.0000 0.5000
Ta2 Ta 0.0000 0.5000 0.7500
Ta3 Ta 0.5000 0.0000 0.2500
Ta4 Ta 0.5000 0.5000 0.0000
Cr1 Cr 0.0000 0.0000 0.0000
Cr2 Cr 0.0000 0.5000 0.2500
Cr3 Cr 0.5000 0.0000 0.7500
Cr4 Cr 0.5000 0.5000 0.5000

---

Record-wise electronic total energy values, in hartree per atom: -0.1509, -0.0788, -0.1540, -0.0645, -0.1301, -0.1288, -0.0920, -0.1128, -0.2286, -0.1377, -0.2466, -0.2837, -0.1108, -0.1547